# 1
Density functional theory data (PBE) for a relaxed CdPd12Pt3 crystal.

Output
Formation enthalpy at 0 K   -76 meV per atom
Calculated total energy   -5.16 eV per atom

a = 3.9610 Å, b = 3.9610 Å, c = 15.9325 Å
α = 90.00°, β = 90.00°, γ = 90.00°
Fractional coordinates of all 16 atoms:
Cd (0.0000, 0.0000, 0.0000)
Pd (0.5000, 0.5000, 0.0000)
Pd (0.5000, 0.5000, 0.2527)
Pd (0.5000, 0.5000, 0.5000)
Pd (0.5000, 0.5000, 0.7473)
Pd (0.5000, 0.0000, 0.1294)
Pd (0.5000, 0.0000, 0.3770)
Pd (0.5000, 0.0000, 0.6230)
Pd (0.5000, 0.0000, 0.8706)
Pd (0.0000, 0.5000, 0.1294)
Pd (0.0000, 0.5000, 0.3770)
Pd (0.0000, 0.5000, 0.6230)
Pd (0.0000, 0.5000, 0.8706)
Pt (0.0000, 0.0000, 0.2543)
Pt (0.0000, 0.0000, 0.5000)
Pt (0.0000, 0.0000, 0.7457)

***

# 2
Density functional theory data (PBE) for a relaxed PrErTmCd crystal.

Output
Formation enthalpy at 0 K   -148 meV per atom
Energy above the most stable polymorph in this dataset   0 meV per atom
Calculated total energy   -3.83 eV per atom

a = 3.6156 Å, b = 3.6156 Å, c = 8.9991 Å
α = 90.00°, β = 90.00°, γ = 90.00°
Fractional coordinates of all 4 atoms:
Pr (0.0000, 0.0000, 0.0720)
Er (0.5000, 0.5000, 0.7895)
Tm (0.5000, 0.5000, 0.3533)
Cd (0.0000, 0.0000, 0.5699)

***

# 3
Density functional theory data (PBE) for a relaxed SrGdY crystal.

Output
Formation enthalpy at 0 K   120 meV per atom
Energy above the most stable polymorph in this dataset   0 meV per atom
Calculated total energy   -7.29 eV per atom

a = 3.7722 Å, b = 3.7722 Å, c = 8.4503 Å
α = 102.90°, β = 102.90°, γ = 90.00°
Fractional coordinates of all 3 atoms:
Y (0.3195, 0.3195, 0.6391)
Sr (0.9988, 0.9988, 0.9975)
Gd (0.6817, 0.6817, 0.3634)

***

# 4
Density functional theory data (PBE) for a relaxed Dy2TeS2 crystal.

Output
E_form (uncorrected)   -1.865 eV/atom
Energy above the most stable polymorph in this dataset   0 meV per atom
Calculated total energy   -5.99 eV per atom

a = 7.5804 Å, b = 7.5804 Å, c = 7.5804 Å
α = 147.90°, β = 138.56°, γ = 53.36°
Fractional coordinates of all 5 atoms:
Dy (0.8333, 0.3333, 0.5000)
Dy (0.1667, 0.6667, 0.5000)
Te (0.0000, 0.0000, 0.0000)
S (0.7042, 0.7042, 0.0000)
S (0.2958, 0.2958, 0.0000)

***

# 5
Density functional theory data (PBE) for a relaxed KMnBr2 crystal.

Output
E_form (uncorrected)   -0.751 eV/atom
Energy above the most stable polymorph in this dataset   0 meV per atom
Calculated total energy   -4.15 eV per atom

a = 5.3970 Å, b = 4.1519 Å, c = 5.3976 Å
α = 90.01°, β = 90.00°, γ = 90.00°
Fractional coordinates of all 4 atoms:
Br (0.0000, 0.9995, 0.8746)
Br (0.5000, 0.0009, 0.3753)
K (0.0000, 0.5003, 0.3744)
Mn (0.5000, 0.9993, 0.8757)

***

# 6
Density functional theory data (PBE) for a relaxed NdLuHg2 crystal.

Output
Formation enthalpy at 0 K   -452 meV per atom
Energy above the most stable polymorph in this dataset   21 meV per atom
Calculated total energy   -2.93 eV per atom

a = 5.3094 Å, b = 5.3094 Å, c = 5.3094 Å
α = 60.00°, β = 60.00°, γ = 60.00°
Fractional coordinates of all 4 atoms:
Lu (0.0000, 0.0000, 0.0000)
Nd (0.5000, 0.5000, 0.5000)
Hg (0.2500, 0.2500, 0.2500)
Hg (0.7500, 0.7500, 0.7500)

***

# 7
Density functional theory data (PBE) for a relaxed NdCd2Ag9 crystal.

Output
Formation enthalpy at 0 K   -47 meV per atom
Calculated total energy   -2.74 eV per atom

a = 5.6370 Å, b = 5.6370 Å, c = 9.5811 Å
α = 72.89°, β = 72.89°, γ = 60.00°
Fractional coordinates of all 12 atoms:
Nd (0.0000, 0.0000, 0.0000)
Cd (0.8571, 0.8571, 0.4286)
Cd (0.1429, 0.1429, 0.5714)
Ag (0.6663, 0.6663, 0.0012)
Ag (0.3337, 0.3337, 0.9988)
Ag (0.5000, 0.5000, 0.5000)
Ag (0.4119, 0.4119, 0.2571)
Ag (0.9191, 0.4119, 0.2571)
Ag (0.4119, 0.9191, 0.2571)
Ag (0.5881, 0.5881, 0.7429)
Ag (0.5881, 0.0809, 0.7429)
Ag (0.0809, 0.5881, 0.7429)

***

# 8
Density functional theory data (PBE) for a relaxed ErVTc2 crystal.

Output
Formation enthalpy at 0 K   23 meV per atom
Energy above the most stable polymorph in this dataset   98 meV per atom
Calculated total energy   -8.58 eV per atom

a = 4.5199 Å, b = 4.5199 Å, c = 4.5199 Å
α = 60.00°, β = 60.00°, γ = 60.00°
Fractional coordinates of all 4 atoms:
V (0.5000, 0.5000, 0.5000)
Tc (0.2500, 0.2500, 0.2500)
Tc (0.7500, 0.7500, 0.7500)
Er (0.0000, 0.0000, 0.0000)